LaBiH3: relaxed, PBE. Values from VASP.

Summary:
The calculation puts the size of the total moment at 0.0 μB per formula unit. The calculation puts the excess energy over the best structure of this formula in the dataset at 258 meV/atom. As for the crystal system: cubic.

```
&SYSTEM
  ibrav = 0, nat = 5, ntyp = 3
/
ATOMIC_SPECIES
La 138.91 La.upf
Bi 208.98 Bi.upf
H 1.01 H.upf
CELL_PARAMETERS angstrom
4.321 0.000 0.000
0.000 4.321 0.000
0.000 0.000 4.321
ATOMIC_POSITIONS crystal
La 0.000 0.000 0.000
Bi 0.500 0.500 0.500
H 0.000 0.500 0.500
H 0.500 0.000 0.500
H 0.500 0.500 0.000
```

LiCdPt2: relaxed, PBE. Values from VASP.

Summary:
The calculation puts the size of the total moment at 0.0 μB per formula unit. As for the crystal system: tetragonal. The value obtained for the formation energy is -0.3939 eV/atom.

```
&SYSTEM
  ibrav = 0, nat = 4, ntyp = 3
/
ATOMIC_SPECIES
Li 6.94 Li.upf
Cd 112.41 Cd.upf
Pt 195.08 Pt.upf
CELL_PARAMETERS angstrom
2.991 0.000 0.000
0.000 2.991 0.000
0.000 0.000 6.848
ATOMIC_POSITIONS crystal
Li 0.000 0.000 0.000
Cd 0.000 0.000 0.500
Pt 0.500 0.500 0.217
Pt 0.500 0.500 0.783
```

SrAgGeC2: relaxed, PBE. Values from VASP.

Summary:
The calculation puts the size of the total moment at 0.0 μB per formula unit. As for the crystal system: tetragonal. The value obtained for the formation energy is 1.4125 eV/atom.

```
&SYSTEM
  ibrav = 0, nat = 5, ntyp = 4
/
ATOMIC_SPECIES
Sr 87.62 Sr.upf
Ag 107.87 Ag.upf
Ge 72.64 Ge.upf
C 12.01 C.upf
CELL_PARAMETERS angstrom
4.276 0.000 0.000
0.000 4.276 0.000
0.000 0.000 4.858
ATOMIC_POSITIONS crystal
Sr 0.000 0.000 0.000
Ag 0.500 0.500 0.000
Ge 0.500 0.500 0.500
C 0.000 0.500 0.500
C 0.500 0.000 0.500
```

La2EuGd: relaxed, PBE. Values from VASP.

Summary:
The calculation puts the size of the total moment at 0.5 μB per formula unit. The calculation puts the excess energy over the best structure of this formula in the dataset at 97 meV/atom. As for the crystal system: cubic. The value obtained for the formation energy is 0.1211 eV/atom.

```
&SYSTEM
  ibrav = 0, nat = 4, ntyp = 3
/
ATOMIC_SPECIES
La 138.91 La.upf
Eu 151.96 Eu.upf
Gd 157.25 Gd.upf
CELL_PARAMETERS angstrom
0.000 4.199 4.199
4.199 0.000 4.199
4.199 4.199 0.000
ATOMIC_POSITIONS crystal
La 0.250 0.250 0.250
La 0.750 0.750 0.750
Eu 0.000 0.000 0.000
Gd 0.500 0.500 0.500
```

Number 1: uncorrected energy -17.409 eV/cell. Number 2: uncorrected energy -16.486 eV/cell. Number 3: uncorrected energy -20.536 eV/cell. Number 4: uncorrected energy -33.726 eV/cell.